Entry 1:
# GaNCl2 | Alexandria | SCAN | PBEsol geometry
# uncorrected formation energy: 890 meV/atom
data_GaNCl2
_chemical_formula_sum 'Ga2 N2 Cl4'
_symmetry_space_group_name_H-M 'P 1'
_symmetry_Int_Tables_number 1
_cell_length_a 6.261
_cell_length_b 6.261
_cell_length_c 6.261
_cell_angle_alpha 60.00
_cell_angle_beta 60.00
_cell_angle_gamma 60.00
loop_
_symmetry_equiv_pos_as_xyz
'x,y,z'
loop_
_atom_site_label
_atom_site_type_symbol
_atom_site_fract_x
_atom_site_fract_y
_atom_site_fract_z
_atom_site_occupancy
Cl1 Cl 0.125 0.625 0.625 1
Ga1 Ga 0.250 0.250 0.250 1
Cl2 Cl 0.625 0.625 0.625 1
Ga2 Ga 0.000 0.000 0.000 1
Cl3 Cl 0.625 0.125 0.625 1
N1 N 0.750 0.750 0.750 1
N2 N 0.500 0.500 0.500 1
Cl4 Cl 0.625 0.625 0.125 1

Entry 2:
The following is a DFT calculation (SCAN) of a PBEsol-optimized structure of AlRhPb2.

Geometry as CIF:
```
data_AlRhPb2
_chemical_formula_sum 'Al1 Rh1 Pb2'
_symmetry_space_group_name_H-M 'P 1'
_symmetry_Int_Tables_number 1
_cell_length_a 4.087
_cell_length_b 5.005
_cell_length_c 5.199
_cell_angle_alpha 118.77
_cell_angle_beta 113.14
_cell_angle_gamma 90.00
loop_
_symmetry_equiv_pos_as_xyz
'x,y,z'
loop_
_atom_site_label
_atom_site_type_symbol
_atom_site_fract_x
_atom_site_fract_y
_atom_site_fract_z
_atom_site_occupancy
Rh1 Rh 0.500 0.000 0.000 1
Pb1 Pb 0.761 0.761 0.521 1
Pb2 Pb 0.239 0.239 0.479 1
Al1 Al 0.000 0.500 0.000 1
```

Entry 3:
The following is a DFT calculation (SCAN) of a PBEsol-optimized structure of MgHPd3.

Geometry as CIF:
```
data_MgHPd3
_chemical_formula_sum 'Mg1 H1 Pd3'
_symmetry_space_group_name_H-M 'P 1'
_symmetry_Int_Tables_number 1
_cell_length_a 3.964
_cell_length_b 3.964
_cell_length_c 3.964
_cell_angle_alpha 90.00
_cell_angle_beta 90.00
_cell_angle_gamma 90.00
loop_
_symmetry_equiv_pos_as_xyz
'x,y,z'
loop_
_atom_site_label
_atom_site_type_symbol
_atom_site_fract_x
_atom_site_fract_y
_atom_site_fract_z
_atom_site_occupancy
Pd1 Pd 0.000 0.500 0.000 1
Pd2 Pd 0.000 0.000 0.500 1
Mg1 Mg 0.500 0.500 0.500 1
H1 H 0.000 0.000 0.000 1
Pd3 Pd 0.500 0.000 0.000 1
```

Number 1: calculated density 2.96 g/cm³, calculated total energy -38.0 eV per formula unit. Number 2: calculated density 10.85 g/cm³, calculated total energy -192.2 eV per formula unit. Number 3: calculated density 9.19 g/cm³, calculated total energy -109.1 eV per formula unit.